Here is a geometry-optimized Ho4Tm2Tl structure from Alexandria via LeMat-Bulk. Energies are from GGA-PBE.

Cell: 5.5741 6.7254 11.5689 Å, 90.00 102.75 90.00°
With the nearest neighbours (Å) after each atom.
Positions (direct):
Ho (0.1134, 0.2500, 0.1441)  3 Tl 3.22-3.41, 3 Tm 3.32-3.39, 2 Ho 3.56
Ho (0.2195, 0.7500, 0.4129)  1 Tl 3.10, 4 Tm 3.24-3.38
Ho (0.3360, 0.5104, 0.7060)  5 Ho 3.22-3.56, 1 Tl 3.40, 3 Tm 3.50-3.57
Ho (0.3360, 0.9896, 0.7060)  5 Ho 3.22-3.56, 1 Tl 3.40, 3 Tm 3.50-3.57
Ho (0.6640, 0.0104, 0.2940)  5 Ho 3.22-3.56, 1 Tl 3.40, 3 Tm 3.50-3.57
Ho (0.6640, 0.4896, 0.2940)  5 Ho 3.22-3.56, 1 Tl 3.40, 3 Tm 3.50-3.57
Ho (0.7805, 0.2500, 0.5871)  1 Tl 3.10, 4 Tm 3.24-3.38
Ho (0.8866, 0.7500, 0.8559)  3 Tl 3.22-3.41, 3 Tm 3.32-3.39, 2 Ho 3.56
Tm (0.2164, 0.2500, 0.4376)  9 Ho 3.24-3.55
Tm (0.4547, 0.7500, 0.0212)  2 Tl 3.08-3.12, 2 Ho 3.32-3.39
Tm (0.5453, 0.2500, 0.9788)  2 Tl 3.08-3.12, 2 Ho 3.32-3.39
Tm (0.7836, 0.7500, 0.5624)  9 Ho 3.24-3.55
Tl (0.0140, 0.7500, 0.1410)  2 Tm 3.08-3.12, 6 Ho 3.10-3.41
Tl (0.9860, 0.2500, 0.8590)  2 Tm 3.08-3.12, 6 Ho 3.10-3.41

Calculated values
* E_form: 0.058 eV/f.u.
* calculated volume: 423.0 Å³ per cell
* energy above the most stable polymorph in this dataset: 56 meV per atom